Material: Sm3YPt2
Method: DFT, PBE
State: relaxed

Structure (POSCAR):
```
Sm3YPt2
1.0
-1.571 -0.237 -4.575
-6.849 -0.684 2.387
-0.942 8.942 -0.139
Sm Y Pt
6 2 4
Cartesian
-4.236 7.843 1.049
-6.879 0.083 2.357
-5.356 0.935 -0.773
-2.559 7.230 -2.059
-2.749 2.755 0.801
-6.483 5.358 1.949
-4.807 4.750 -1.158
-1.226 3.604 -2.329
-6.645 6.877 -0.637
-2.582 1.157 -1.736
-2.402 5.690 0.530
-5.532 2.553 1.767
```

## Properties
For the density, the calculation gives 9.74 g/cm3. As for the space group: Pmc2_1. For the formation energy, the calculation gives -0.87 eV/atom. The value obtained for the density of states at the Fermi level is 6.27 states/eV/f.u. The calculation puts the calculated total energy at -6.322 eV/atom.

Material: LiNiBi2Sb
Method: DFT, PBE
State: relaxed

Structure (POSCAR):
```
LiNiBi2Sb
1.0
-3.576 -2.121 2.904
2.978 0.268 3.863
-1.837 4.598 1.097
Sb Li Bi Ni
1 1 2 1
Cartesian
1.489 0.134 1.932
0.000 0.000 0.000
-0.919 2.299 0.548
-1.788 -1.061 1.452
-1.218 1.373 3.932
```

## Properties
For the density, the calculation gives 8.00 g/cm3. As for the space group: P4/mmm. The uncorrected formation energy comes out at 0.633 eV/atom. The value obtained for the density of states at the Fermi level is 2.61 states/eV/f.u. The calculation puts the calculated total energy at -3.283 eV/atom.